## MnP2H8O10 (GGA-PBEsol)

Data for an optimized crystal structure of MnP2H8O10.

POSCAR file:
```
MnP2H8O10
1.0
5.2342 0.1266 0.0000
-0.4950 7.0418 0.0000
0.0000 0.0000 10.1733
Mn O P H
2 20 4 16
direct
0.0000 0.0000 0.0000
0.5000 0.5000 0.5000
0.0800 0.4806 0.8575
0.2239 0.7254 0.4677
0.1648 0.1393 0.8298
0.8352 0.8607 0.1702
0.4200 0.0194 0.3575
0.7774 0.6376 0.3667
0.4637 0.6212 0.1778
0.7239 0.2254 0.0323
0.9637 0.1212 0.3222
0.2761 0.7746 0.9677
0.2774 0.1376 0.1333
0.3352 0.3607 0.3298
0.5363 0.3788 0.8222
0.2226 0.3624 0.6333
0.6649 0.6393 0.6702
0.7226 0.8624 0.8667
0.7761 0.2746 0.5323
0.0363 0.8788 0.6778
0.5800 0.9806 0.6425
0.9200 0.5194 0.1425
0.7465 0.8390 0.7176
0.7535 0.6610 0.2176
0.2465 0.3390 0.7824
0.2535 0.1610 0.2824
0.1701 0.7833 0.5540
0.0539 0.6819 0.4246
0.8805 0.0069 0.2672
0.8350 0.3964 0.1014
0.8299 0.2167 0.4460
0.6650 0.1036 0.6014
0.9461 0.3181 0.5754
0.5539 0.1819 0.0754
0.6195 0.4931 0.7672
0.1195 0.9931 0.7328
0.3805 0.5069 0.2328
0.6701 0.2833 0.9460
0.3299 0.7167 0.0540
0.4461 0.8181 0.9246
0.1650 0.6036 0.8986
0.3350 0.8964 0.3986
```

SG: P2_1/c, No. 14
VASP energy: -6.28 eV/atom


## MnP2H2O8 (GGA-PBEsol)

Data for an optimized crystal structure of MnP2H2O8.

POSCAR file:
```
MnP2H2O8
1.0
4.9912 0.0610 0.0000
-1.0292 6.9655 0.0000
0.0000 0.0000 14.4567
O Mn P H
32 4 8 8
direct
0.7376 0.6693 0.8292
0.3656 0.1062 0.3999
0.5108 0.7284 0.1014
0.8280 0.5834 0.2055
0.8165 0.5746 0.5506
0.2376 0.6693 0.6708
0.6835 0.4254 0.0506
0.0087 0.2596 0.9408
0.4913 0.7404 0.4408
0.3314 0.0249 0.7125
0.4892 0.2716 0.8986
0.0108 0.7284 0.3986
0.1835 0.4254 0.4494
0.8314 0.0249 0.7875
0.9892 0.2716 0.6014
0.1686 0.9751 0.2125
0.3165 0.5746 0.9494
0.1475 0.9309 0.5574
0.6475 0.9309 0.9426
0.7624 0.3307 0.3292
0.5087 0.2596 0.5592
0.3280 0.5834 0.2945
0.2624 0.3307 0.1708
0.8525 0.0691 0.4426
0.9913 0.7404 0.0592
0.6686 0.9751 0.2875
0.6720 0.4166 0.7055
0.1344 0.8938 0.8999
0.1720 0.4166 0.7945
0.3525 0.0691 0.0574
0.8656 0.1062 0.1001
0.6344 0.8938 0.6001
0.3120 0.8054 0.0015
0.8120 0.8054 0.4985
0.6880 0.1946 0.9985
0.1880 0.1946 0.5015
0.1588 0.1359 0.1362
0.2472 0.3880 0.8955
0.6588 0.1359 0.3638
0.8412 0.8641 0.8638
0.7528 0.6120 0.1045
0.2528 0.6120 0.3955
0.7472 0.3880 0.6045
0.3412 0.8641 0.6362
0.5077 0.0602 0.7457
0.2701 0.4689 0.2502
0.7701 0.4689 0.2498
0.2299 0.5311 0.7502
0.0077 0.0602 0.7543
0.9923 0.9398 0.2457
0.7299 0.5311 0.7498
0.4923 0.9398 0.2543
```

SG: P2_1/c, No. 14
VASP energy: -7.12 eV/atom


## MnVP2H2O10 (GGA-PBEsol)

Data for an optimized crystal structure of MnVP2H2O10.

POSCAR file:
```
MnVP2H2O10
1.0
-4.3306 2.6871 -0.1748
0.6645 -1.2076 -4.9844
-1.3940 -6.1408 3.2330
O V H P Mn
10 1 2 2 1
direct
0.1038 0.6854 0.8812
0.8691 0.0432 0.7281
0.8962 0.3146 0.1188
0.6337 0.7623 0.9378
0.7518 0.6318 0.3728
0.2482 0.3682 0.6272
0.1309 0.9568 0.2719
0.3663 0.2377 0.0622
0.6857 0.1304 0.3606
0.3143 0.8696 0.6394
0.0000 0.0000 0.5000
0.3472 0.9899 0.3169
0.6528 0.0101 0.6831
0.3236 0.6739 0.7744
0.6764 0.3261 0.2256
0.0000 0.0000 0.0000
```

SG: P-1, No. 2
VASP energy: -7.54 eV/atom


## Rb2MnH12S2O14 (GGA-PBEsol)

Data for an optimized crystal structure of Rb2MnH12S2O14.

POSCAR file:
```
Rb2MnH12S2O14
1.0
-0.0219 -5.8926 -2.0644
8.6619 2.7827 -0.9072
2.4928 -4.0239 11.4591
S O H Rb Mn
4 28 24 4 2
direct
0.2746 0.5959 0.1371
0.7254 0.4041 0.8629
0.7254 0.9041 0.6371
0.2746 0.0959 0.3629
0.5845 0.4146 0.7679
0.9393 0.8763 0.6743
0.0607 0.1237 0.3257
0.0131 0.8195 0.8822
0.3024 0.4919 0.4285
0.9869 0.6805 0.3822
0.5845 0.9146 0.7321
0.7671 0.0444 0.5721
0.6025 0.7752 0.5684
0.4155 0.0854 0.2679
0.6025 0.2752 0.9316
0.6976 0.5081 0.5715
0.8302 0.3283 0.3831
0.9393 0.3763 0.8257
0.8302 0.8283 0.1169
0.3975 0.7248 0.0684
0.9869 0.1805 0.1178
0.7671 0.5444 0.9279
0.2329 0.9556 0.4279
0.1698 0.1717 0.8831
0.4155 0.5854 0.2321
0.2329 0.4556 0.0721
0.6976 0.0081 0.9285
0.0131 0.3195 0.6178
0.0607 0.6237 0.1743
0.3975 0.2248 0.4316
0.3024 0.9919 0.0715
0.1698 0.6717 0.6169
0.0861 0.2836 0.1016
0.0888 0.7509 0.6294
0.3261 0.2219 0.9049
0.6739 0.2781 0.4049
0.6544 0.6057 0.5648
0.9139 0.2164 0.6016
0.0861 0.7836 0.3984
0.6544 0.1057 0.9352
0.9112 0.2491 0.3706
0.6739 0.7781 0.0951
0.9112 0.7491 0.1294
0.6691 0.9760 0.8513
0.9790 0.8437 0.8063
0.3456 0.8943 0.0648
0.3456 0.3943 0.4352
0.9790 0.3437 0.6937
0.3309 0.5240 0.3513
0.6691 0.4760 0.6487
0.0210 0.1563 0.1937
0.9139 0.7164 0.8984
0.0210 0.6563 0.3063
0.0888 0.2509 0.8706
0.3309 0.0240 0.1487
0.3261 0.7219 0.5951
0.3404 0.1336 0.6529
0.3404 0.6336 0.8471
0.6596 0.8664 0.3471
0.6596 0.3664 0.1529
0.0000 0.0000 0.0000
0.0000 0.5000 0.5000
```

SG: P2_1/c, No. 14
VASP energy: -5.65 eV/atom


## MnH6SO6 (GGA-PBEsol)

Data for an optimized crystal structure of MnH6SO6.

POSCAR file:
```
MnH6SO6
1.0
-3.2871 5.3175 2.1595
-5.6107 -5.7595 2.9874
4.3754 -0.3548 7.5337
O H Mn S
24 24 4 4
direct
0.2610 0.0755 0.0370
0.2390 0.4245 0.5370
0.4668 0.8964 0.2952
0.6081 0.6383 0.1531
0.5161 0.2334 0.4554
0.3639 0.3782 0.1524
0.9668 0.3964 0.2048
0.2798 0.8247 0.8639
0.1361 0.1218 0.6524
0.1081 0.1383 0.3469
0.7390 0.9245 0.9630
0.7202 0.1753 0.1361
0.7798 0.3247 0.6361
0.9839 0.2666 0.9554
0.7610 0.5755 0.4630
0.0332 0.6036 0.7952
0.8919 0.8617 0.6531
0.6361 0.6218 0.8476
0.2202 0.6753 0.3639
0.5332 0.1036 0.7048
0.3919 0.3617 0.8469
0.8639 0.8782 0.3476
0.0161 0.7334 0.0446
0.4839 0.7666 0.5446
0.3777 0.3548 0.9627
0.9581 0.7679 0.6881
0.7587 0.4761 0.5238
0.8546 0.8649 0.9954
0.2413 0.5239 0.4762
0.8777 0.8548 0.5373
0.5462 0.5196 0.8309
0.0419 0.2321 0.3119
0.1223 0.1452 0.4627
0.0462 0.0196 0.6691
0.7413 0.0239 0.0238
0.1454 0.1351 0.0046
0.9538 0.9804 0.3309
0.6454 0.6351 0.4954
0.6223 0.6452 0.0373
0.5419 0.7321 0.1881
0.2189 0.3988 0.1710
0.3546 0.3649 0.5046
0.7189 0.8988 0.3290
0.4581 0.2679 0.8119
0.2587 0.9761 0.9762
0.7811 0.6012 0.8290
0.2811 0.1012 0.6710
0.4538 0.4804 0.1691
0.9236 0.6409 0.2634
0.5764 0.8591 0.7634
0.0764 0.3591 0.7366
0.4236 0.1409 0.2366
0.8310 0.3268 0.0684
0.1690 0.6732 0.9316
0.6690 0.1732 0.5684
0.3310 0.8268 0.4316
```

SG: P2_1/c, No. 14
VASP energy: -5.81 eV/atom


## MnH6S4O16 (GGA-PBEsol)

Data for an optimized crystal structure of MnH6S4O16.

POSCAR file:
```
MnH6S4O16
1.0
-0.3746 4.8712 -1.7083
-5.9223 -4.1172 -4.1269
-9.8868 3.1229 11.0726
S O H Mn
8 32 12 2
direct
0.4208 0.2732 0.4141
0.5792 0.7268 0.5859
0.1231 0.2482 0.6683
0.1231 0.7482 0.8317
0.5792 0.2268 0.9141
0.8769 0.7518 0.3317
0.8769 0.2518 0.1683
0.4208 0.7732 0.0859
0.7231 0.8903 0.5403
0.2769 0.1097 0.4597
0.9787 0.8357 0.8882
0.7047 0.3110 0.4353
0.6891 0.6188 0.2756
0.3109 0.8812 0.7756
0.3771 0.2329 0.3185
0.7288 0.3564 0.1252
0.3109 0.3812 0.7244
0.2712 0.6436 0.8748
0.2954 0.4055 0.4385
0.7231 0.3903 0.9597
0.0684 0.8654 0.2679
0.7046 0.0945 0.9385
0.2953 0.1890 0.9353
0.9316 0.6346 0.7679
0.7047 0.8110 0.0647
0.6229 0.2671 0.8185
0.9787 0.3357 0.6118
0.6891 0.1188 0.2244
0.0684 0.3654 0.2321
0.7288 0.8564 0.3748
0.2953 0.6890 0.5647
0.2712 0.1436 0.6252
0.0213 0.6643 0.3882
0.2954 0.9055 0.0615
0.3771 0.7329 0.1815
0.6229 0.7671 0.6815
0.0213 0.1643 0.1118
0.9316 0.1346 0.7321
0.2769 0.6097 0.0403
0.7046 0.5945 0.5615
0.1902 0.3057 0.2682
0.2749 0.1221 0.5283
0.4363 0.8329 0.7343
0.5637 0.1671 0.2657
0.1902 0.8057 0.2318
0.8098 0.6943 0.7318
0.2749 0.6221 0.9717
0.7251 0.8779 0.4717
0.7251 0.3779 0.0283
0.4363 0.3329 0.7657
0.5637 0.6671 0.2343
0.8098 0.1943 0.7682
0.0000 0.0000 0.0000
0.0000 0.5000 0.5000
```

SG: P2_1/c, No. 14
VASP energy: -6.11 eV/atom


## Mn2H2SO6 (GGA-PBEsol)

Data for an optimized crystal structure of Mn2H2SO6.

POSCAR file:
```
Mn2H2SO6
1.0
6.0749 0.0127 -0.0094
2.4242 6.2890 -0.0449
-2.4242 -1.8915 5.9980
Mn O S H
4 12 2 4
direct
0.3230 0.1491 0.6574
0.8230 0.3426 0.8509
0.6770 0.8509 0.3426
0.1770 0.6574 0.1491
0.2057 0.3202 0.9508
0.6002 0.1549 0.2460
0.5843 0.5419 0.3188
0.4157 0.4581 0.6812
0.7057 0.0492 0.6798
0.8998 0.2460 0.1549
0.2943 0.9508 0.3202
0.0843 0.6812 0.4581
0.3998 0.8451 0.7540
0.7943 0.6798 0.0492
0.1002 0.7540 0.8451
0.9157 0.3188 0.5419
0.2500 0.6856 0.6856
0.7500 0.3144 0.3144
0.1810 0.0551 0.2345
0.6810 0.7655 0.9449
0.8190 0.9449 0.7655
0.3190 0.2345 0.0551
```

SG: C2/c, No. 15
VASP energy: -6.92 eV/atom


## MnH2SO4 (GGA-PBEsol)

Data for an optimized crystal structure of MnH2SO4.

POSCAR file:
```
MnH2SO4
1.0
-4.1885 -1.1522 -2.0659
-1.2473 -2.6504 5.1735
-4.7050 9.9752 3.9760
O S H Mn
16 4 8 4
direct
0.4554 0.3055 0.9075
0.6147 0.2154 0.1280
0.5446 0.6945 0.0925
0.5389 0.5306 0.3221
0.9611 0.9694 0.8221
0.1147 0.7154 0.3720
0.4294 0.0685 0.6572
0.0706 0.4315 0.1572
0.3853 0.7846 0.8720
0.9554 0.8055 0.5925
0.0389 0.0306 0.1779
0.0446 0.1945 0.4075
0.8853 0.2846 0.6280
0.9294 0.5685 0.8428
0.4611 0.4694 0.6779
0.5706 0.9315 0.3428
0.0764 0.7850 0.9006
0.4236 0.7150 0.4006
0.9236 0.2150 0.0994
0.5764 0.2850 0.5994
0.6191 0.4153 0.8919
0.4771 0.2526 0.9873
0.1191 0.9153 0.6081
0.8809 0.0847 0.3919
0.5229 0.7474 0.0127
0.3809 0.5847 0.1081
0.9771 0.7526 0.5127
0.0229 0.2474 0.4873
0.8596 0.7065 0.2194
0.1404 0.2935 0.7806
0.3596 0.2065 0.2806
0.6404 0.7935 0.7194
```

SG: P2_1/c, No. 14
VASP energy: -6.38 eV/atom